1.
VASP calculation (PBE) on a relaxed CeGa2Ni4Ge crystal.

abc: 4.0819 4.0819 8.6661
angles: 76.38 76.38 60.00
Each line ends with the local moment (μB).
Element x y z (fractional)
Ga: 0.7542 0.7542 0.7374  0.00
Ga: 0.2458 0.2458 0.2626  0.00
Ni: 0.5946 0.5946 0.2161  0.01
Ni: 0.1358 0.1358 0.5925  0.01
Ni: 0.8642 0.8642 0.4075  0.01
Ni: 0.4054 0.4054 0.7839  0.01
Ge: 0.5000 0.5000 0.5000  0.00
Ce: 0.0000 0.0000 0.0000  0.19

Computed properties:
**Formation energy**: -0.39 eV/atom
**Calculated volume**: 120.34 Å³/cell
**VASP energy**: -5.359 eV per atom

2.
VASP calculation (PBE) on a relaxed Sc12GaCu6 crystal.

abc: 7.8986 7.8986 7.8986
angles: 109.47 109.47 109.47
Element x y z (fractional)
Sc: 0.1886 0.7110 0.8996
Sc: 0.8114 0.2890 0.1004
Sc: 0.1886 0.2890 0.4776
Sc: 0.5224 0.8114 0.7110
Sc: 0.4776 0.1886 0.2890
Sc: 0.8996 0.1886 0.7110
Sc: 0.2890 0.1004 0.8114
Sc: 0.8114 0.7110 0.5224
Sc: 0.2890 0.4776 0.1886
Sc: 0.7110 0.5224 0.8114
Sc: 0.7110 0.8996 0.1886
Sc: 0.1004 0.8114 0.2890
Cu: 0.3687 0.5000 0.8687
Cu: 0.6313 0.5000 0.1313
Cu: 0.1313 0.6313 0.5000
Cu: 0.8687 0.3687 0.5000
Cu: 0.5000 0.8687 0.3687
Cu: 0.5000 0.1313 0.6313
Ga: 0.0000 0.0000 0.0000

Computed properties:
**Formation energy**: -0.22 eV/atom
**Calculated volume**: 379.35 Å³/cell
**VASP energy**: -5.669 eV per atom